Entry 1:
This record from Alexandria via LeMat-Bulk describes crystalline Zr4C at its relaxed geometry. The functional is PBE.

Structure (CIF):
```
data_Zr4C
_cell_length_a 5.8201
_cell_length_b 5.8201
_cell_length_c 5.8201
_cell_angle_alpha 90.00
_cell_angle_beta 90.00
_cell_angle_gamma 90.00
_symmetry_space_group_name_H-M 'I m -3 m'
_symmetry_Int_Tables_number 229
_symmetry_space_group_name_Hall '-I 4 2 3'
loop_
_atom_site_label
_atom_site_fract_x
_atom_site_fract_y
_atom_site_fract_z
_atom_site_occupancy
Zr1 0.2500 0.2500 0.2500 1
C1 0.0000 0.0000 0.0000 1
```

## Properties
- Total DFT energy (no corrections): -8.338 eV per atom
- Energy above the lowest structure with this stoichiometry: 0.601 eV per atom

=====

Entry 2:
This record from Alexandria via LeMat-Bulk describes crystalline ZrC2 at its relaxed geometry. The functional is PBE.

Structure (CIF):
```
data_ZrC2
_cell_length_a 3.4611
_cell_length_b 4.5470
_cell_length_c 4.6961
_cell_angle_alpha 90.00
_cell_angle_beta 90.00
_cell_angle_gamma 90.00
_symmetry_space_group_name_H-M 'I m m m'
_symmetry_Int_Tables_number 71
_symmetry_space_group_name_Hall '-I 2 2'
loop_
_atom_site_label
_atom_site_fract_x
_atom_site_fract_y
_atom_site_fract_z
_atom_site_occupancy
Zr1 0.0000 0.0000 0.0000 1
C1 0.0000 0.1487 0.5000 1
```

## Properties
- Total DFT energy (no corrections): -8.901 eV per atom

=====

Entry 3:
This record from Alexandria via LeMat-Bulk describes crystalline Zr4C3 at its relaxed geometry. The functional is PBE.

Structure (CIF):
```
data_Zr4C3
_cell_length_a 12.2928
_cell_length_b 3.3581
_cell_length_c 5.7375
_cell_angle_alpha 90.00
_cell_angle_beta 117.42
_cell_angle_gamma 90.00
_symmetry_space_group_name_H-M 'C 1 2/m 1'
_symmetry_Int_Tables_number 12
_symmetry_space_group_name_Hall '-C 2y'
loop_
_atom_site_label
_atom_site_fract_x
_atom_site_fract_y
_atom_site_fract_z
_atom_site_occupancy
Zr1 0.1275 0.0000 0.4695 1
Zr2 0.1312 0.5000 0.9598 1
C1 0.0000 0.5000 0.5000 1
C2 0.2407 0.0000 0.2353 1
```

## Properties
- Total DFT energy (no corrections): -9.511 eV per atom
- Energy above the lowest structure with this stoichiometry: 0.000 eV per atom

=====

Entry 4:
This record from Alexandria via LeMat-Bulk describes crystalline Zr2C at its relaxed geometry. The functional is PBE.

Structure (CIF):
```
data_Zr2C
_cell_length_a 5.9642
_cell_length_b 5.9642
_cell_length_c 5.1997
_cell_angle_alpha 90.00
_cell_angle_beta 90.00
_cell_angle_gamma 90.00
_symmetry_space_group_name_H-M 'I 4/m c m'
_symmetry_Int_Tables_number 140
_symmetry_space_group_name_Hall '-I 4 2c'
loop_
_atom_site_label
_atom_site_fract_x
_atom_site_fract_y
_atom_site_fract_z
_atom_site_occupancy
Zr1 0.1724 0.3276 0.0000 1
C1 0.0000 0.0000 0.2500 1
```

## Properties
- Total DFT energy (no corrections): -8.939 eV per atom

=====

Entry 5:
This record from Alexandria via LeMat-Bulk describes crystalline Zr2C at its relaxed geometry. The functional is PBE.

Structure (CIF):
```
data_Zr2C
_cell_length_a 3.3233
_cell_length_b 13.0954
_cell_length_c 4.7607
_cell_angle_alpha 90.00
_cell_angle_beta 90.00
_cell_angle_gamma 90.00
_symmetry_space_group_name_H-M 'C m c m'
_symmetry_Int_Tables_number 63
_symmetry_space_group_name_Hall '-C 2c 2'
loop_
_atom_site_label
_atom_site_fract_x
_atom_site_fract_y
_atom_site_fract_z
_atom_site_occupancy
Zr1 0.0000 0.0680 0.2500 1
Zr2 0.0000 0.3100 0.2500 1
C1 0.0000 0.3148 0.7500 1
```

## Properties
- Total DFT energy (no corrections): -9.323 eV per atom

=====

Entry 6:
This record from Alexandria via LeMat-Bulk describes crystalline ZrC5 at its relaxed geometry. The functional is PBE.

Structure (CIF):
```
data_ZrC5
_cell_length_a 3.3200
_cell_length_b 3.1346
_cell_length_c 11.6237
_cell_angle_alpha 90.00
_cell_angle_beta 90.00
_cell_angle_gamma 90.00
_symmetry_space_group_name_H-M 'A m m 2'
_symmetry_Int_Tables_number 38
_symmetry_space_group_name_Hall 'A 2 -2'
loop_
_atom_site_label
_atom_site_fract_x
_atom_site_fract_y
_atom_site_fract_z
_atom_site_occupancy
Zr1 0.0000 0.0000 0.0000 1
C1 0.0000 0.0000 0.3374 1
C2 0.0000 0.0000 0.7944 1
C3 0.5000 0.0000 0.3855 1
C4 0.5000 0.0000 0.5212 1
C5 0.5000 0.0000 0.8163 1
```

## Properties
- Total DFT energy (no corrections): -7.586 eV per atom
- Energy above the lowest structure with this stoichiometry: 0.938 eV per atom

=====

Entry 7:
This record from Alexandria via LeMat-Bulk describes crystalline ZrC2 at its relaxed geometry. The functional is PBE.

Structure (CIF):
```
data_ZrC2
_cell_length_a 4.8012
_cell_length_b 4.8012
_cell_length_c 6.0022
_cell_angle_alpha 90.00
_cell_angle_beta 90.00
_cell_angle_gamma 90.00
_symmetry_space_group_name_H-M 'I 4/m c m'
_symmetry_Int_Tables_number 140
_symmetry_space_group_name_Hall '-I 4 2c'
loop_
_atom_site_label
_atom_site_fract_x
_atom_site_fract_y
_atom_site_fract_z
_atom_site_occupancy
Zr1 0.0000 0.0000 0.2500 1
C1 0.0978 0.4022 0.0000 1
```

## Properties
- Total DFT energy (no corrections): -8.665 eV per atom

=====

Entry 8:
This record from Alexandria via LeMat-Bulk describes crystalline Zr2C at its relaxed geometry. The functional is PBE.

Structure (CIF):
```
data_Zr2C
_cell_length_a 3.2996
_cell_length_b 3.2996
_cell_length_c 11.3258
_cell_angle_alpha 90.00
_cell_angle_beta 90.00
_cell_angle_gamma 120.00
_symmetry_space_group_name_H-M 'P 63/m m c'
_symmetry_Int_Tables_number 194
_symmetry_space_group_name_Hall '-P 6c 2c'
loop_
_atom_site_label
_atom_site_fract_x
_atom_site_fract_y
_atom_site_fract_z
_atom_site_occupancy
Zr1 0.3333 0.6667 0.1119 1
C1 0.0000 0.0000 0.0000 1
```

## Properties
- Total DFT energy (no corrections): -9.290 eV per atom

=====

Entry 9:
This record from Alexandria via LeMat-Bulk describes crystalline Zr2C at its relaxed geometry. The functional is PBE.

Structure (CIF):
```
data_Zr2C
_cell_length_a 8.3609
_cell_length_b 8.3609
_cell_length_c 4.9882
_cell_angle_alpha 90.00
_cell_angle_beta 90.00
_cell_angle_gamma 120.00
_symmetry_space_group_name_H-M 'P 63/m m c'
_symmetry_Int_Tables_number 194
_symmetry_space_group_name_Hall '-P 6c 2c'
loop_
_atom_site_label
_atom_site_fract_x
_atom_site_fract_y
_atom_site_fract_z
_atom_site_occupancy
Zr1 0.0000 0.0000 0.0000 1
Zr2 0.1957 0.3914 0.2500 1
C1 0.3333 0.6667 0.0897 1
```

## Properties
- Total DFT energy (no corrections): -7.610 eV per atom

=====

Entry 10:
This record from Alexandria via LeMat-Bulk describes crystalline ZrC2 at its relaxed geometry. The functional is PBE.

Structure (CIF):
```
data_ZrC2
_cell_length_a 3.0587
_cell_length_b 3.0587
_cell_length_c 26.5053
_cell_angle_alpha 90.00
_cell_angle_beta 90.00
_cell_angle_gamma 90.00
_symmetry_space_group_name_H-M 'I 41/a m d'
_symmetry_Int_Tables_number 141
loop_
_symmetry_equiv_pos_as_xyz
'x,y,z'
'-x,-y,-z'
'-y+1/4,x+3/4,z+1/4'
'y+1/4,-x+3/4,-z+1/4'
'-x+1/2,-y,z+1/2'
'x+1/2,y,-z+1/2'
'y+1/4,-x+1/4,z+3/4'
'-y+1/4,x+1/4,-z+3/4'
'x,-y,-z'
'-x,y,z'
'-y+1/4,-x+1/4,-z+3/4'
'y+1/4,x+1/4,z+3/4'
'-x+1/2,y,-z+1/2'
'x+1/2,-y,z+1/2'
'y+1/4,x+3/4,-z+1/4'
'-y+1/4,-x+3/4,z+1/4'
'x+1/2,y+1/2,z+1/2'
'-x+1/2,-y+1/2,-z+1/2'
'-y+3/4,x+1/4,z+3/4'
'y+3/4,-x+1/4,-z+3/4'
'-x,-y+1/2,z'
'x,y+1/2,-z'
'y+3/4,-x+3/4,z+1/4'
'-y+3/4,x+3/4,-z+1/4'
'x+1/2,-y+1/2,-z+1/2'
'-x+1/2,y+1/2,z+1/2'
'-y+3/4,-x+3/4,-z+1/4'
'y+3/4,x+3/4,z+1/4'
'-x,y+1/2,-z'
'x,-y+1/2,z'
'y+3/4,x+1/4,-z+3/4'
'-y+3/4,-x+1/4,z+3/4'
loop_
_atom_site_label
_atom_site_fract_x
_atom_site_fract_y
_atom_site_fract_z
_atom_site_occupancy
Zr1 0.0000 0.2500 0.3092 1
C1 0.0000 0.2500 0.1251 1
C2 0.0000 0.2500 0.7646 1
```

## Properties
- Total DFT energy (no corrections): -8.520 eV per atom

=====

Entry 11:
This record from Alexandria via LeMat-Bulk describes crystalline Zr3C4 at its relaxed geometry. The functional is PBE.

Structure (CIF):
```
data_Zr3C4
_cell_length_a 5.1549
_cell_length_b 5.1549
_cell_length_c 5.1549
_cell_angle_alpha 90.00
_cell_angle_beta 90.00
_cell_angle_gamma 90.00
_symmetry_space_group_name_H-M 'P -4 3 m'
_symmetry_Int_Tables_number 215
_symmetry_space_group_name_Hall 'P -4 2 3'
loop_
_atom_site_label
_atom_site_fract_x
_atom_site_fract_y
_atom_site_fract_z
_atom_site_occupancy
Zr1 0.0000 0.0000 0.5000 1
C1 0.2306 0.2306 0.2306 1
```

## Properties
- Total DFT energy (no corrections): -7.987 eV per atom
- Energy above the lowest structure with this stoichiometry: 1.267 eV per atom

=====

Entry 12:
This record from Alexandria via LeMat-Bulk describes crystalline Zr3C4 at its relaxed geometry. The functional is PBE.

Structure (CIF):
```
data_Zr3C4
_cell_length_a 4.6783
_cell_length_b 4.6783
_cell_length_c 4.6783
_cell_angle_alpha 90.00
_cell_angle_beta 90.00
_cell_angle_gamma 90.00
_symmetry_space_group_name_H-M 'P m -3 m'
_symmetry_Int_Tables_number 221
_symmetry_space_group_name_Hall '-P 4 2 3'
loop_
_atom_site_label
_atom_site_fract_x
_atom_site_fract_y
_atom_site_fract_z
_atom_site_occupancy
Zr1 0.0000 0.0000 0.5000 1
C1 0.0000 0.0000 0.0000 1
C2 0.0000 0.5000 0.5000 1
```

## Properties
- Total DFT energy (no corrections): -8.642 eV per atom
- Energy above the lowest structure with this stoichiometry: 0.611 eV per atom